Record 1
Material: TiCrS4
Method: DFT, GGA-PBE
State: optimized geometry

The structure in POSCAR format:
```
TiCrS4
1.0
4.020 -4.042 0.000
4.020 4.042 0.000
0.000 0.000 3.438
Ti Cr S
1 1 4
direct
0.000 0.000 0.000
0.500 0.500 0.500
0.203 0.797 0.500
0.308 0.308 0.000
0.692 0.692 0.000
0.797 0.203 0.500
```

Computed properties:
- Formation energy without anion corrections: -0.79 eV/atom
- Energy above the lowest structure with this stoichiometry: 2.70 kcal/mol of atoms
- Total moment: 0.345 μB per atom


Record 2
Material: Pm4P3Rh12Pb
Method: DFT, GGA-PBE
State: optimized geometry

The structure in POSCAR format:
```
Pm4P3Rh12Pb
1.0
-4.594 4.594 4.594
4.594 -4.594 4.594
4.594 4.594 -4.594
Pm P Rh Pb
4 3 12 1
direct
0.000 0.000 0.500
0.000 0.500 0.000
0.500 0.000 0.000
0.500 0.500 0.500
0.000 0.500 0.500
0.500 0.000 0.500
0.500 0.500 0.000
0.000 0.272 0.272
0.000 0.728 0.728
0.250 0.500 0.750
0.250 0.750 0.500
0.272 0.000 0.272
0.272 0.272 0.000
0.500 0.250 0.750
0.500 0.750 0.250
0.728 0.000 0.728
0.728 0.728 0.000
0.750 0.250 0.500
0.750 0.500 0.250
0.000 0.000 0.000
```

Computed properties:
- E_form: -0.44 eV/atom
- Total moment: 0.000 μB per atom


Record 3
Material: Tb2HoEr5
Method: DFT, GGA-PBE
State: optimized geometry

The structure in POSCAR format:
```
Tb2HoEr5
1.0
7.027 0.000 0.000
0.000 14.055 0.000
0.000 0.000 4.965
Tb Ho Er
4 2 10
direct
0.250 0.125 0.000
0.250 0.625 0.000
0.750 0.375 0.000
0.750 0.875 0.000
0.000 0.000 0.500
0.500 0.500 0.500
0.000 0.250 0.500
0.000 0.500 0.500
0.000 0.750 0.500
0.250 0.375 0.000
0.250 0.875 0.000
0.500 0.000 0.500
0.500 0.250 0.500
0.500 0.750 0.500
0.750 0.125 0.000
0.750 0.625 0.000
```

Computed properties:
- Energy above the lowest structure with this stoichiometry: 0.00 kcal/mol of atoms
- E_form: 0.02 eV/atom
- Total moment: 0.000 μB per atom


Record 4
Material: LaFeP4
Method: DFT, GGA-PBE
State: optimized geometry

The structure in POSCAR format:
```
LaFeP4
1.0
0.000 3.745 3.745
3.745 0.000 3.745
3.745 3.745 0.000
La Fe P
1 1 4
direct
0.000 0.000 0.000
0.250 0.250 0.250
0.156 0.615 0.615
0.615 0.156 0.615
0.615 0.615 0.156
0.615 0.615 0.615
```

Computed properties:
- E_form: 0.14 eV/atom
- Total moment: 0.477 μB per atom


Record 5
Material: LaCoI2N
Method: DFT, GGA-PBE
State: optimized geometry

The structure in POSCAR format:
```
LaCoI2N
1.0
5.660 0.000 0.000
0.000 5.660 0.000
0.000 0.000 3.607
La Co I N
1 1 2 1
direct
0.000 0.000 0.000
0.500 0.500 0.500
0.000 0.500 0.500
0.500 0.000 0.500
0.500 0.500 0.000
```

Computed properties:
- Formation energy without anion corrections: -0.14 eV/atom
- Energy above the lowest structure with this stoichiometry: 0.00 kcal/mol of atoms
- Total moment: 0.000 μB per atom


Record 6
Material: Sm3Y2Se6
Method: DFT, GGA-PBE
State: optimized geometry

The structure in POSCAR format:
```
Sm3Y2Se6
1.0
3.575 -6.168 0.000
3.575 6.168 0.000
-2.376 0.000 6.699
Sm Y Se
3 2 6
direct
0.000 0.000 0.000
0.336 0.664 0.000
0.664 0.336 0.000
0.165 0.835 0.500
0.835 0.165 0.500
0.089 0.420 0.258
0.250 0.250 0.738
0.420 0.089 0.258
0.580 0.911 0.742
0.750 0.750 0.262
0.911 0.580 0.742
```

Computed properties:
- Formation energy without anion corrections: -1.88 eV/atom
- Energy above the lowest structure with this stoichiometry: 0.00 kcal/mol of atoms
- Total moment: 0.000 μB per atom


Record 7
Material: ErO3
Method: DFT, GGA-PBE
State: optimized geometry

The structure in POSCAR format:
```
ErO3
1.0
6.436 0.000 0.000
-3.218 5.574 0.000
0.000 0.000 3.376
Er O
2 6
direct
0.333 0.667 0.250
0.667 0.333 0.750
0.057 0.422 0.750
0.365 0.943 0.750
0.422 0.365 0.250
0.578 0.635 0.750
0.635 0.057 0.250
0.943 0.578 0.250
```

Computed properties:
- Formation energy without anion corrections: -1.55 eV/atom
- Total moment: 0.750 μB per atom


Record 8
Material: ZrTlBr
Method: DFT, GGA-PBE
State: optimized geometry

The structure in POSCAR format:
```
ZrTlBr
1.0
0.000 3.436 3.436
3.436 0.000 3.436
3.436 3.436 0.000
Zr Tl Br
1 1 1
direct
0.000 0.000 0.000
0.500 0.500 0.500
0.750 0.750 0.750
```

Computed properties:
- Formation energy without anion corrections: 0.43 eV/atom
- Energy above the lowest structure with this stoichiometry: 20.68 kcal/mol of atoms
- Total moment: 0.002 μB per atom


Record 9
Material: LaHfV2Cd
Method: DFT, GGA-PBE
State: optimized geometry

The structure in POSCAR format:
```
LaHfV2Cd
1.0
4.903 0.000 0.000
0.000 4.903 0.000
0.000 0.000 5.558
La Hf V Cd
1 1 2 1
direct
0.000 0.000 0.000
0.500 0.500 0.000
0.000 0.500 0.500
0.500 0.000 0.500
0.000 0.000 0.500
```

Computed properties:
- E_form: 1.66 eV/atom
- Total moment: 0.183 μB per atom


Record 10
Material: LiCe2
Method: DFT, GGA-PBE
State: optimized geometry

The structure in POSCAR format:
```
LiCe2
1.0
-1.491 1.491 8.092
1.491 -1.491 8.092
1.491 1.491 -8.092
Li Ce
1 2
direct
0.000 0.000 0.000
0.330 0.330 0.000
0.670 0.670 0.000
```

Computed properties:
- E_form: 0.15 eV/atom
- Total moment: 0.001 μB per atom


Record 11
Material: Pm3Pt8Au
Method: DFT, GGA-PBE
State: optimized geometry

The structure in POSCAR format:
```
Pm3Pt8Au
1.0
2.728 1.575 8.928
-2.728 1.575 8.928
0.000 -3.150 8.928
Pm Pt Au
3 8 1
direct
0.000 0.000 0.000
0.130 0.130 0.130
0.611 0.611 0.611
0.059 0.059 0.565
0.059 0.560 0.560
0.059 0.565 0.059
0.310 0.310 0.310
0.560 0.059 0.560
0.560 0.560 0.059
0.565 0.059 0.059
0.810 0.810 0.810
0.492 0.492 0.492
```

Computed properties:
- E_form: -0.94 eV/atom
- Total moment: 0.000 μB per atom


Record 12
Material: PmMgGeN3
Method: DFT, GGA-PBE
State: optimized geometry

The structure in POSCAR format:
```
PmMgGeN3
1.0
5.914 0.000 0.000
0.000 3.274 0.000
-0.961 0.000 8.395
Pm Mg Ge N
2 2 2 6
direct
0.184 0.250 0.335
0.816 0.750 0.665
0.203 0.750 0.998
0.797 0.250 0.002
0.307 0.250 0.708
0.693 0.750 0.292
0.088 0.250 0.852
0.236 0.750 0.576
0.397 0.750 0.210
0.603 0.250 0.790
0.764 0.250 0.424
0.912 0.750 0.148
```

Computed properties:
- Formation energy without anion corrections: -0.73 eV/atom
- Total moment: 0.000 μB per atom


Uncorrected energy / eV/atom: -6.4647 -6.7956 -4.5637 -5.7013 -4.8335 -6.2432 -6.4116 -3.7676 -5.1464 -4.4477 -6.4318 -6.7170